Record 1
## SrF3 (PBE)

Data for SrF3 after structural relaxation.

Calculated values
Fermi-level density of states   0.0 states/eV/cell
VASP energy   -4.52 eV/atom
SG   I-42d

Unit cell a=3.754 b=3.754 c=9.496 alpha=78.60 beta=78.60 gamma=90.00
Fractional positions:
Sr1 0.000 0.000 0.000
Sr2 0.750 0.250 0.500
F1 0.500 0.500 0.000
F2 0.250 0.750 0.500
F3 0.756 0.125 0.250
F4 0.994 0.625 0.250
F5 0.375 0.244 0.750
F6 0.875 0.006 0.750

---

Record 2
## K2Cd12Au7 (PBE)

Data for K2Cd12Au7 after structural relaxation.

Calculated values
Fermi-level density of states   7.4 states/eV/cell
VASP energy   -1.93 eV/atom
SG   P-6
Formation energy from the elements   -0.209 eV per atom

Unit cell a=4.552 b=11.225 c=11.225 alpha=120.00 beta=90.00 gamma=90.00
Fractional positions:
K1 0.500 0.000 0.000
K2 0.000 0.667 0.333
Cd1 0.500 0.924 0.620
Cd2 0.500 0.696 0.076
Cd3 0.500 0.380 0.304
Cd4 0.500 0.246 0.783
Cd5 0.500 0.538 0.754
Cd6 0.500 0.217 0.462
Cd7 0.000 0.044 0.519
Cd8 0.000 0.475 0.956
Cd9 0.000 0.481 0.525
Cd10 0.000 0.802 0.725
Cd11 0.000 0.923 0.198
Cd12 0.000 0.275 0.077
Au1 0.000 0.333 0.667
Au2 0.000 0.084 0.794
Au3 0.000 0.710 0.916
Au4 0.000 0.206 0.290
Au5 0.500 0.648 0.563
Au6 0.500 0.915 0.352
Au7 0.500 0.437 0.085

---

Record 3
## Pa4SiP2S (PBE)

Data for Pa4SiP2S after structural relaxation.

Calculated values
Fermi-level density of states   8.7 states/eV/cell
VASP energy   -8.47 eV/atom
SG   P2/m

Unit cell a=3.985 b=6.940 c=6.851 alpha=70.54 beta=90.00 gamma=90.00
Fractional positions:
Pa1 0.000 0.754 0.746
Pa2 0.000 0.246 0.254
Pa3 0.500 0.752 0.251
Pa4 0.500 0.248 0.749
Si1 0.500 0.500 0.000
P1 0.000 0.000 0.000
P2 0.500 0.000 0.500
S1 0.000 0.500 0.500

---

Record 4
## AcDy5Mg6 (PBE)

Data for AcDy5Mg6 after structural relaxation.

Calculated values
Fermi-level density of states   14.2 states/eV/cell
VASP energy   -3.12 eV/atom
SG   P2/m
Formation energy from the elements   -0.066 eV per atom

Unit cell a=5.430 b=7.692 c=8.587 alpha=90.00 beta=71.65 gamma=90.00
Fractional positions:
Ac1 0.000 0.000 0.000
Mg1 0.828 0.741 0.343
Mg2 0.828 0.259 0.343
Mg3 0.500 0.262 0.000
Mg4 0.500 0.738 0.000
Mg5 0.172 0.741 0.657
Mg6 0.172 0.259 0.657
Dy1 0.665 0.500 0.672
Dy2 0.331 0.000 0.337
Dy3 0.000 0.500 0.000
Dy4 0.669 0.000 0.663
Dy5 0.335 0.500 0.328

---

Record 5
## YLuScIr (PBE)

Data for YLuScIr after structural relaxation.

Calculated values
Fermi-level density of states   3.8 states/eV/cell
VASP energy   -6.84 eV/atom
SG   F-43m
Formation energy from the elements   -0.297 eV per atom

Unit cell a=5.000 b=5.000 c=5.000 alpha=60.00 beta=60.00 gamma=60.00
Fractional positions:
Y1 0.250 0.250 0.250
Sc1 0.500 0.500 0.500
Ir1 0.000 0.000 0.000
Lu1 0.750 0.750 0.750

---

Record 6
## Sc4GaI5 (PBE)

Data for Sc4GaI5 after structural relaxation.

Calculated values
Fermi-level density of states   5.9 states/eV/cell
VASP energy   -4.57 eV/atom
SG   C2/m

Unit cell a=4.041 b=8.419 c=9.463 alpha=102.26 beta=102.33 gamma=90.00
Fractional positions:
Sc1 0.356 0.927 0.712
Sc2 0.999 0.790 0.999
Sc3 0.644 0.073 0.288
Sc4 0.001 0.210 0.001
Ga1 0.500 0.000 0.000
I1 0.835 0.667 0.670
I2 0.829 0.166 0.658
I3 0.171 0.834 0.342
I4 0.500 0.500 0.000
I5 0.165 0.333 0.330

---

Record 7
## CuAsPbSe3 (PBE)

Data for CuAsPbSe3 after structural relaxation.

Calculated values
VASP energy   -4.06 eV/atom
SG   P2_1/m

Unit cell a=3.969 b=8.454 c=8.958 alpha=102.35 beta=90.00 gamma=90.00
Fractional positions:
Cu1 0.250 0.068 0.585
Cu2 0.750 0.932 0.415
As1 0.250 0.664 0.129
As2 0.750 0.336 0.871
Pb1 0.250 0.177 0.265
Pb2 0.750 0.823 0.735
Se1 0.750 0.876 0.130
Se2 0.250 0.124 0.870
Se3 0.250 0.766 0.478
Se4 0.750 0.234 0.522
Se5 0.750 0.434 0.155
Se6 0.250 0.566 0.845

---

Record 8
## Si2NiAg (PBE)

Data for Si2NiAg after structural relaxation.

Calculated values
Relative energy among the computed polymorphs   0.302 eV/atom
Fermi-level density of states   1.8 states/eV/cell
VASP energy   -4.58 eV/atom
SG   Pmmm

Unit cell a=2.741 b=4.999 c=4.254 alpha=90.00 beta=90.00 gamma=90.00
Fractional positions:
Ag1 0.500 0.000 0.500
Ni1 0.000 0.500 0.500
Si1 0.000 0.000 0.000
Si2 0.500 0.500 0.000

---

- Which of these has the highest VASP energy?
  K2Cd12Au7